1.
PaTcOs (PBE, relaxed); formation energy = 0.330 eV per atom
1.0
0.000 3.159 3.159
3.159 0.000 3.159
3.159 3.159 0.000
Pa Tc Os
1 1 1
Cartesian
0.000 0.000 0.000
3.159 3.159 3.159
1.580 1.580 1.580

=====

2.
Entry from the Open Quantum Materials Database: a geometry-optimized LuScGe structure (PBE).

```
LuScGe
1.0
0.000 3.302 3.302
3.302 0.000 3.302
3.302 3.302 0.000
Lu Sc Ge
1 1 1
Cartesian
0.000 0.000 0.000
3.302 3.302 3.302
1.651 1.651 1.651
```

=====

3.
Entry from the Open Quantum Materials Database: a geometry-optimized NdGdAs2Pt2 structure (PBE).

```
NdGdAs2Pt2
1.0
4.331 0.000 0.000
-2.166 3.751 0.000
0.000 0.000 15.696
Nd Gd As Pt
2 2 4 4
Cartesian
0.000 0.000 0.000
0.000 0.000 7.848
0.000 0.000 3.924
0.000 0.000 11.772
0.000 2.501 1.876
0.000 2.501 5.972
2.166 1.250 9.724
2.166 1.250 13.820
0.000 2.501 10.022
0.000 2.501 13.521
2.166 1.250 2.174
2.166 1.250 5.673
```

=====

4.
Entry from the Open Quantum Materials Database: a geometry-optimized BeCoCuGe structure (PBE).

```
BeCoCuGe
1.0
0.000 2.824 2.824
2.824 0.000 2.824
2.824 2.824 0.000
Be Co Cu Ge
1 1 1 1
Cartesian
0.000 0.000 0.000
2.824 2.824 2.824
4.236 4.236 4.236
1.412 1.412 1.412
```

=====

5.
AcTbU (PBE, relaxed); formation energy = 1.272 eV per atom
1.0
0.000 3.849 3.849
3.849 0.000 3.849
3.849 3.849 0.000
Ac Tb U
1 1 1
Cartesian
0.000 0.000 0.000
3.849 3.849 3.849
1.924 1.924 1.924

=====

6.
Entry from the Open Quantum Materials Database: a geometry-optimized CuBOs structure (PBE).

```
CuBOs
1.0
0.000 2.704 2.704
2.704 0.000 2.704
2.704 2.704 0.000
Cu B Os
1 1 1
Cartesian
0.000 0.000 0.000
2.704 2.704 2.704
4.056 4.056 4.056
```

=====

7.
DyHoHg6 (PBE, relaxed); formation energy = -0.341 eV per atom
1.0
6.589 0.000 0.000
-3.294 5.706 0.000
0.000 0.000 4.997
Dy Ho Hg
1 1 6
Cartesian
0.000 0.000 0.000
0.000 3.804 2.498
-1.647 2.853 0.000
1.649 0.952 2.498
3.294 0.000 0.000
1.647 2.853 0.000
4.940 0.952 2.498
3.294 3.802 2.498

=====

8.
Entry from the Open Quantum Materials Database: a geometry-optimized TbAgAsO structure (PBE).

```
TbAgAsO
1.0
4.253 0.000 0.000
0.000 6.353 0.000
0.000 0.000 5.754
Tb Ag As O
2 2 2 2
Cartesian
0.000 1.561 0.000
0.000 4.792 2.877
2.127 0.932 2.525
2.127 5.421 5.402
2.127 3.011 4.192
2.127 3.343 1.316
0.000 0.264 1.750
0.000 6.090 4.627
```

=====

9.
Entry from the Open Quantum Materials Database: a geometry-optimized Ta4Cd3W2N3 structure (PBE).

```
Ta4Cd3W2N3
1.0
4.467 -2.574 0.000
4.467 2.574 0.000
-2.988 0.000 15.286
Ta Cd W N
8 6 4 6
Cartesian
0.745 0.435 1.349
0.740 0.432 6.293
-0.750 -0.435 8.993
-0.754 -0.432 13.936
6.700 0.432 1.351
6.696 0.435 6.294
5.206 -0.432 8.994
5.202 -0.435 13.937
3.720 2.135 3.822
0.765 0.391 11.463
2.259 -0.391 3.820
3.688 0.391 11.466
5.182 -0.391 3.823
2.226 -2.135 11.465
3.725 0.432 1.356
3.716 0.432 6.287
2.231 -0.432 8.999
2.221 -0.432 13.931
2.234 1.287 0.000
2.229 1.285 7.643
5.212 1.285 0.000
0.740 -1.287 7.643
3.723 -1.285 0.000
3.718 -1.285 7.643
```

=====

10.
Entry from the Open Quantum Materials Database: a geometry-optimized Li4FeSn2Pd structure (PBE).

```
Li4FeSn2Pd
1.0
4.414 0.000 0.000
0.000 4.414 0.000
0.000 0.000 6.372
Li Fe Sn Pd
4 1 2 1
Cartesian
0.000 0.000 0.000
0.000 2.207 1.573
2.207 0.000 4.799
2.207 2.207 3.186
0.000 0.000 3.186
0.000 2.207 4.715
2.207 0.000 1.658
2.207 2.207 0.000
```

=====

11.
Entry from the Open Quantum Materials Database: a geometry-optimized P2Os structure (PBE).

```
P2Os
1.0
0.000 3.437 3.437
3.437 0.000 3.437
3.437 3.437 0.000
P Os
4 2
Cartesian
0.000 0.000 0.000
1.719 1.719 0.000
1.719 0.000 1.719
0.000 1.719 1.719
2.578 2.578 2.578
4.296 4.296 4.296
```

=====

12.
Entry from the Open Quantum Materials Database: a geometry-optimized NaZnO3 structure (PBE).

```
NaZnO3
1.0
3.842 0.000 0.000
0.000 3.842 0.000
0.000 0.000 3.842
Na Zn O
1 1 3
Cartesian
0.000 0.000 0.000
1.921 1.921 1.921
0.000 1.921 1.921
1.921 0.000 1.921
1.921 1.921 0.000
```

=====

13.
Entry from the Open Quantum Materials Database: a geometry-optimized SmMgZn structure (PBE).

```
SmMgZn
1.0
0.000 3.387 3.387
3.387 0.000 3.387
3.387 3.387 0.000
Sm Mg Zn
1 1 1
Cartesian
0.000 0.000 0.000
3.387 3.387 3.387
5.080 5.080 5.080
```

=====

14.
Entry from the Open Quantum Materials Database: a geometry-optimized LaInAg2 structure (PBE).

```
LaInAg2
1.0
4.798 0.000 0.000
0.000 4.798 0.000
0.000 0.000 4.238
La In Ag
1 1 2
Cartesian
0.000 0.000 0.000
2.399 2.399 0.000
0.000 2.399 2.119
2.399 0.000 2.119
```

=====

15.
Entry from the Open Quantum Materials Database: a geometry-optimized InAuI6 structure (PBE).

```
InAuI6
1.0
7.262 0.000 0.000
2.616 6.816 0.000
2.267 0.902 7.154
In Au I
1 1 6
Cartesian
0.000 0.000 0.000
3.676 2.154 0.314
1.571 1.790 1.905
4.323 5.724 5.285
4.575 4.056 1.967
4.869 1.268 5.763
8.181 6.329 2.128
8.174 3.268 5.945
```

=====

16.
Entry from the Open Quantum Materials Database: a geometry-optimized GdBPt structure (PBE).

```
GdBPt
1.0
0.000 3.104 3.104
3.104 0.000 3.104
3.104 3.104 0.000
Gd B Pt
1 1 1
Cartesian
0.000 0.000 0.000
3.104 3.104 3.104
4.655 4.655 4.655
```

=====

17.
Entry from the Open Quantum Materials Database: a geometry-optimized KZnGe structure (PBE).

```
KZnGe
1.0
0.000 3.692 3.692
3.692 0.000 3.692
3.692 3.692 0.000
K Zn Ge
1 1 1
Cartesian
0.000 0.000 0.000
1.846 1.846 1.846
5.538 5.538 5.538
```

=====

18.
Entry from the Open Quantum Materials Database: a geometry-optimized CsPtO3 structure (PBE).

```
CsPtO3
1.0
5.755 0.000 0.000
0.000 8.449 0.000
0.000 0.000 5.759
Cs Pt O
4 4 12
Cartesian
5.753 2.112 0.004
0.002 6.337 5.755
2.876 2.112 2.875
2.880 6.337 2.884
0.000 0.000 2.879
0.000 4.225 2.879
2.878 0.000 0.000
2.878 4.225 0.000
0.007 2.112 2.902
1.266 0.008 1.267
1.266 4.217 1.267
1.611 4.233 4.146
1.611 8.441 4.146
2.871 6.337 0.022
2.884 2.112 5.737
4.144 0.008 1.613
4.144 4.217 1.613
4.489 4.233 4.492
4.489 8.441 4.492
5.748 6.337 2.857
```

=====

19.
Entry from the Open Quantum Materials Database: a geometry-optimized LiHfZn2 structure (PBE).

```
LiHfZn2
1.0
0.000 3.123 3.123
3.123 0.000 3.123
3.123 3.123 0.000
Li Hf Zn
1 1 2
Cartesian
0.000 0.000 0.000
1.561 1.561 1.561
3.123 3.123 3.123
4.684 4.684 4.684
```

=====

20.
Entry from the Open Quantum Materials Database: a geometry-optimized GdEr2Sn3PdPt2 structure (PBE).

```
GdEr2Sn3PdPt2
1.0
4.007 0.000 0.000
0.000 6.537 3.756
0.000 -6.537 3.756
Gd Er Sn Pd Pt
1 2 3 1 2
Cartesian
0.000 0.000 0.000
0.000 -2.667 4.600
0.000 2.667 4.600
2.003 -1.691 2.104
2.003 1.691 2.104
2.003 0.000 5.003
0.000 0.000 3.080
2.003 -4.340 3.063
2.003 4.340 3.063
```

=====

Uncorrected energy
In order: -10.03 -5.68 -6.39 -4.73 -5.41 -6.15 -1.71 -5.53 -8.61 -3.99 -6.21 -3.92 -2.60 -3.51 -2.14 -5.66 -1.50 -4.72 -3.62 -5.83
Unit: eV per atom